Entry from Alexandria: a PBEsol-optimized structure of PrGa3Ni (SCAN).

Computed properties:
Raw total energy ... -22.33 eV/atom
Energy relative to the elements ... -301 kJ/mol of formula units

```
data_PrGa3Ni
_chemical_formula_sum 'Pr1 Ga3 Ni1'
_space_group_name_H-M_alt 'P 1'
_space_group_IT_number 1
_space_group_name_Hall 'P 1'
_cell_length_a 4.112
_cell_length_b 4.112
_cell_length_c 5.977
_cell_angle_alpha 110.12
_cell_angle_beta 110.12
_cell_angle_gamma 90.00
loop_
_atom_site_label
_atom_site_type_symbol
_atom_site_fract_x
_atom_site_fract_y
_atom_site_fract_z
Ni1 Ni 0.500 0.500 0.000
Pr1 Pr 0.750 0.250 0.500
Ga1 Ga 0.130 0.630 0.261
Ga2 Ga 0.370 0.870 0.739
Ga3 Ga 0.000 0.000 0.000
```

***

Entry from Alexandria: a PBEsol-optimized structure of Pr2GaNi2 (SCAN).

Computed properties:
Raw total energy ... -27.54 eV/atom
Energy relative to the elements ... -229 kJ/mol of formula units

```
data_Pr2GaNi2
_chemical_formula_sum 'Pr2 Ga1 Ni2'
_space_group_name_H-M_alt 'P 1'
_space_group_IT_number 1
_space_group_name_Hall 'P 1'
_cell_length_a 4.232
_cell_length_b 5.363
_cell_length_c 5.456
_cell_angle_alpha 119.44
_cell_angle_beta 112.82
_cell_angle_gamma 90.00
loop_
_atom_site_label
_atom_site_type_symbol
_atom_site_fract_x
_atom_site_fract_y
_atom_site_fract_z
Ni1 Ni 0.500 0.262 0.000
Ga1 Ga 0.000 0.000 0.000
Pr1 Pr 0.799 0.299 0.599
Ni2 Ni 0.500 0.738 0.000
Pr2 Pr 0.201 0.701 0.401
```

***

Entry from Alexandria: a PBEsol-optimized structure of Pr3Ga2Ni4 (SCAN).

Computed properties:
Raw total energy ... -25.77 eV/atom
Energy relative to the elements ... -443 kJ/mol of formula units

```
data_Pr3Ga2Ni4
_chemical_formula_sum 'Pr3 Ga2 Ni4'
_space_group_name_H-M_alt 'P 1'
_space_group_IT_number 1
_space_group_name_Hall 'P 1'
_cell_length_a 4.120
_cell_length_b 5.430
_cell_length_c 8.160
_cell_angle_alpha 98.71
_cell_angle_beta 90.00
_cell_angle_gamma 112.30
loop_
_atom_site_label
_atom_site_type_symbol
_atom_site_fract_x
_atom_site_fract_y
_atom_site_fract_z
Ga1 Ga 0.322 0.644 0.216
Ni1 Ni 0.916 0.832 0.363
Pr1 Pr 0.376 0.753 0.621
Ni2 Ni 0.261 0.521 0.915
Pr2 Pr 0.624 0.247 0.379
Pr3 Pr 0.000 0.000 0.000
Ni3 Ni 0.084 0.168 0.637
Ni4 Ni 0.739 0.479 0.085
Ga2 Ga 0.678 0.356 0.784
```

***

Entry from Alexandria: a PBEsol-optimized structure of Pr3Ga2Ni6 (SCAN).

Computed properties:
Raw total energy ... -24.03 eV/atom
Energy relative to the elements ... -447 kJ/mol of formula units

```
data_Pr3Ga2Ni6
_chemical_formula_sum 'Pr6 Ga4 Ni12'
_space_group_name_H-M_alt 'P 1'
_space_group_IT_number 1
_space_group_name_Hall 'P 1'
_cell_length_a 7.736
_cell_length_b 7.736
_cell_length_c 7.736
_cell_angle_alpha 109.47
_cell_angle_beta 109.47
_cell_angle_gamma 109.47
loop_
_atom_site_label
_atom_site_type_symbol
_atom_site_fract_x
_atom_site_fract_y
_atom_site_fract_z
Ga1 Ga 0.500 0.500 0.500
Ga2 Ga 0.500 0.000 0.000
Ni1 Ni 0.000 0.338 0.662
Pr1 Pr 0.287 0.000 0.287
Ni2 Ni 0.338 0.000 0.662
Ni3 Ni 0.338 0.662 0.000
Ni4 Ni 0.338 0.338 0.675
Ni5 Ni 0.000 0.662 0.338
Pr2 Pr 0.713 0.000 0.713
Pr3 Pr 0.287 0.287 0.000
Ga3 Ga 0.000 0.500 0.000
Pr4 Pr 0.000 0.713 0.713
Ga4 Ga 0.000 0.000 0.500
Ni6 Ni 0.338 0.675 0.338
Pr5 Pr 0.713 0.713 0.000
Ni7 Ni 0.662 0.000 0.338
Ni8 Ni 0.662 0.338 0.000
Ni9 Ni 0.325 0.662 0.662
Ni10 Ni 0.662 0.662 0.325
Ni11 Ni 0.675 0.338 0.338
Pr6 Pr 0.000 0.287 0.287
Ni12 Ni 0.662 0.325 0.662
```

***

Entry from Alexandria: a PBEsol-optimized structure of GaSiNiPt2 (SCAN).

Computed properties:
Raw total energy ... -36.33 eV/atom
Formation energy (no corrections) ... 24.78 kJ per mole of atoms

```
data_GaSiNiPt2
_chemical_formula_sum 'Ga1 Si1 Ni1 Pt2'
_space_group_name_H-M_alt 'P 1'
_space_group_IT_number 1
_space_group_name_Hall 'P 1'
_cell_length_a 4.146
_cell_length_b 4.493
_cell_length_c 4.493
_cell_angle_alpha 90.00
_cell_angle_beta 90.00
_cell_angle_gamma 90.00
loop_
_atom_site_label
_atom_site_type_symbol
_atom_site_fract_x
_atom_site_fract_y
_atom_site_fract_z
Si1 Si 0.000 0.000 0.000
Pt1 Pt 0.000 0.000 0.500
Ga1 Ga 0.500 0.500 0.500
Pt2 Pt 0.000 0.500 0.000
Ni1 Ni 0.500 0.000 0.000
```

***

Entry from Alexandria: a PBEsol-optimized structure of PuGaNi (SCAN).

Computed properties:
Raw total energy ... -47.81 eV/atom
Energy relative to the elements ... -73 kJ/mol of formula units

```
data_PuGaNi
_chemical_formula_sum 'Pu3 Ga3 Ni3'
_space_group_name_H-M_alt 'P 1'
_space_group_IT_number 1
_space_group_name_Hall 'P 1'
_cell_length_a 3.978
_cell_length_b 6.586
_cell_length_c 6.586
_cell_angle_alpha 120.00
_cell_angle_beta 90.00
_cell_angle_gamma 90.00
loop_
_atom_site_label
_atom_site_type_symbol
_atom_site_fract_x
_atom_site_fract_y
_atom_site_fract_z
Pu1 Pu 0.500 0.424 0.000
Pu2 Pu 0.500 0.576 0.576
Ni1 Ni 0.000 0.333 0.667
Ni2 Ni 0.000 0.667 0.333
Pu3 Pu 0.500 0.000 0.424
Ga1 Ga 0.000 0.000 0.762
Ni3 Ni 0.500 0.000 0.000
Ga2 Ga 0.000 0.238 0.238
Ga3 Ga 0.000 0.762 0.000
```

***

Entry from Alexandria: a PBEsol-optimized structure of Ga2NiS4 (SCAN).

Computed properties:
Raw total energy ... -13.19 eV/atom
Formation energy (no corrections) ... -68.58 kJ per mole of atoms

```
data_Ga2NiS4
_chemical_formula_sum 'Ga2 Ni1 S4'
_space_group_name_H-M_alt 'P 1'
_space_group_IT_number 1
_space_group_name_Hall 'P 1'
_cell_length_a 3.563
_cell_length_b 3.563
_cell_length_c 12.068
_cell_angle_alpha 90.00
_cell_angle_beta 90.00
_cell_angle_gamma 120.00
loop_
_atom_site_label
_atom_site_type_symbol
_atom_site_fract_x
_atom_site_fract_y
_atom_site_fract_z
S1 S 0.333 0.667 0.867
Ni1 Ni 0.000 0.000 0.500
S2 S 0.667 0.333 0.133
S3 S 0.667 0.333 0.592
S4 S 0.333 0.667 0.408
Ga1 Ga 0.333 0.667 0.222
Ga2 Ga 0.667 0.333 0.778
```

***

Entry from Alexandria: a PBEsol-optimized structure of GaNiS3 (SCAN).

Computed properties:
Raw total energy ... -11.51 eV/atom
Formation energy (no corrections) ... 74.74 kJ per mole of atoms

```
data_GaNiS3
_chemical_formula_sum 'Ga1 Ni1 S3'
_space_group_name_H-M_alt 'P 1'
_space_group_IT_number 1
_space_group_name_Hall 'P 1'
_cell_length_a 4.585
_cell_length_b 4.585
_cell_length_c 4.585
_cell_angle_alpha 90.00
_cell_angle_beta 90.00
_cell_angle_gamma 90.00
loop_
_atom_site_label
_atom_site_type_symbol
_atom_site_fract_x
_atom_site_fract_y
_atom_site_fract_z
Ni1 Ni 0.500 0.500 0.500
S1 S 0.000 0.000 0.500
S2 S 0.000 0.500 0.000
Ga1 Ga 0.000 0.000 0.000
S3 S 0.500 0.000 0.000
```

***

Entry from Alexandria: a PBEsol-optimized structure of Sm3GaNiS7 (SCAN).

Computed properties:
Raw total energy ... -21.19 eV/atom
Formation energy (no corrections) ... -169.35 kJ per mole of atoms

```
data_Sm3GaNiS7
_chemical_formula_sum 'Sm6 Ga2 Ni2 S14'
_space_group_name_H-M_alt 'P 1'
_space_group_IT_number 1
_space_group_name_Hall 'P 1'
_cell_length_a 6.156
_cell_length_b 9.543
_cell_length_c 9.543
_cell_angle_alpha 120.00
_cell_angle_beta 90.00
_cell_angle_gamma 90.00
loop_
_atom_site_label
_atom_site_type_symbol
_atom_site_fract_x
_atom_site_fract_y
_atom_site_fract_z
S1 S 0.764 0.772 0.898
S2 S 0.452 0.443 0.917
S3 S 0.952 0.917 0.475
S4 S 0.264 0.898 0.126
S5 S 0.264 0.228 0.102
S6 S 0.952 0.525 0.443
Ni1 Ni 0.003 0.000 0.000
Sm1 Sm 0.175 0.210 0.376
S7 S 0.264 0.874 0.772
Sm2 Sm 0.675 0.376 0.165
S8 S 0.952 0.557 0.083
Ga1 Ga 0.099 0.667 0.333
Ga2 Ga 0.599 0.333 0.667
Sm3 Sm 0.675 0.835 0.210
S9 S 0.764 0.102 0.874
Ni2 Ni 0.503 0.000 0.000
S10 S 0.452 0.083 0.525
Sm4 Sm 0.675 0.790 0.624
S11 S 0.962 0.333 0.667
Sm5 Sm 0.175 0.624 0.835
S12 S 0.764 0.126 0.228
Sm6 Sm 0.175 0.165 0.790
S13 S 0.452 0.475 0.557
S14 S 0.462 0.667 0.333
```

***

Entry from Alexandria: a PBEsol-optimized structure of ScGa2Ni (SCAN).

Computed properties:
Raw total energy ... -16.53 eV/atom
Energy relative to the elements ... -291 kJ/mol of formula units

```
data_ScGa2Ni
_chemical_formula_sum 'Sc2 Ga4 Ni2'
_space_group_name_H-M_alt 'P 1'
_space_group_IT_number 1
_space_group_name_Hall 'P 1'
_cell_length_a 3.993
_cell_length_b 5.120
_cell_length_c 6.387
_cell_angle_alpha 90.00
_cell_angle_beta 90.00
_cell_angle_gamma 112.95
loop_
_atom_site_label
_atom_site_type_symbol
_atom_site_fract_x
_atom_site_fract_y
_atom_site_fract_z
Ga1 Ga 0.363 0.726 0.450
Ni1 Ni 0.794 0.587 0.250
Ga2 Ga 0.637 0.274 0.550
Sc1 Sc 0.075 0.151 0.250
Ni2 Ni 0.206 0.413 0.750
Ga3 Ga 0.637 0.274 0.950
Ga4 Ga 0.363 0.726 0.050
Sc2 Sc 0.925 0.849 0.750
```

***

Entry from Alexandria: a PBEsol-optimized structure of ScGa2Ni2 (SCAN).

Computed properties:
Raw total energy ... -16.41 eV/atom
Energy relative to the elements ... -266 kJ/mol of formula units

```
data_ScGa2Ni2
_chemical_formula_sum 'Sc1 Ga2 Ni2'
_space_group_name_H-M_alt 'P 1'
_space_group_IT_number 1
_space_group_name_Hall 'P 1'
_cell_length_a 3.742
_cell_length_b 3.742
_cell_length_c 5.847
_cell_angle_alpha 108.66
_cell_angle_beta 108.66
_cell_angle_gamma 90.00
loop_
_atom_site_label
_atom_site_type_symbol
_atom_site_fract_x
_atom_site_fract_y
_atom_site_fract_z
Ni1 Ni 0.250 0.750 0.500
Sc1 Sc 0.000 0.000 0.000
Ga1 Ga 0.383 0.383 0.766
Ga2 Ga 0.617 0.617 0.234
Ni2 Ni 0.750 0.250 0.500
```

***

Entry from Alexandria: a PBEsol-optimized structure of Sc2GaNi2 (SCAN).

Computed properties:
Raw total energy ... -15.75 eV/atom
Energy relative to the elements ... -155 kJ/mol of formula units

```
data_Sc2GaNi2
_chemical_formula_sum 'Sc2 Ga1 Ni2'
_space_group_name_H-M_alt 'P 1'
_space_group_IT_number 1
_space_group_name_Hall 'P 1'
_cell_length_a 3.280
_cell_length_b 3.280
_cell_length_c 8.049
_cell_angle_alpha 101.76
_cell_angle_beta 101.76
_cell_angle_gamma 90.00
loop_
_atom_site_label
_atom_site_type_symbol
_atom_site_fract_x
_atom_site_fract_y
_atom_site_fract_z
Ga1 Ga 0.000 0.000 0.000
Ni1 Ni 0.750 0.250 0.500
Sc1 Sc 0.383 0.383 0.765
Ni2 Ni 0.250 0.750 0.500
Sc2 Sc 0.617 0.617 0.235
```